# AcSm2Sn3 (PBE, relaxed)
# Calculated density   7.343 Mg/m³
# Fermi-level density of states   4.451 states/eV/f.u.
# Energy   -57.9 eV per cell
# Energy relative to the elements   -0.567 eV per atom
data_AcSm2Sn3
_chemical_formula_sum 'Ac2 Sm4 Sn6'
_cell_length_a 5.325
_cell_length_b 6.512
_cell_length_c 11.529
_cell_angle_alpha 90.00
_cell_angle_beta 90.00
_cell_angle_gamma 90.00
_symmetry_space_group_name_H-M 'I m m m'
_symmetry_Int_Tables_number 71
_symmetry_space_group_name_Hall '-I 2 2'
loop_
_atom_site_label
_atom_site_fract_x
_atom_site_fract_y
_atom_site_fract_z
Ac1 0.000 0.000 0.000
Sm1 0.000 0.000 0.340
Sn1 0.000 0.500 0.000
Sn2 0.000 0.500 0.305